# 1
# Nd2SmZrN4, relaxed, DFT PBE-GGA
data_Nd2SmZrN4
_cell_length_a 6.099
_cell_length_b 3.510
_cell_length_c 6.121
_cell_angle_alpha 90.00
_cell_angle_beta 109.09
_cell_angle_gamma 90.00
_space_group_name_H-M_alt 'P 1 2/m 1'
_space_group_IT_number 10
loop_
_space_group_symop_operation_xyz
'x,y,z'
'-x,-y,-z'
'-x,y,-z'
'x,-y,z'
loop_
_atom_site_label
_atom_site_fract_x
_atom_site_fract_y
_atom_site_fract_z
_atom_site_occupancy
Nd1 0.000 0.000 0.000 1
Nd2 0.500 0.500 0.000 1
Sm1 0.000 0.500 0.500 1
Zr1 0.500 0.000 0.500 1
N1 0.262 0.000 0.732 1
N2 0.271 0.500 0.274 1
# M_tot, μB per formula unit: 0.000
# Uncorrected energy, eV/atom: -8.489

=====

# 2
# NdGa6Au12, relaxed, DFT PBE-GGA
data_NdGa6Au12
_cell_length_a 12.0426
_cell_length_b 12.0426
_cell_length_c 8.8793
_cell_angle_alpha 90.00
_cell_angle_beta 90.00
_cell_angle_gamma 120.00
_space_group_name_H-M_alt 'R -3 m'
_space_group_IT_number 166
_space_group_name_Hall '-R 3 2"'
loop_
_atom_site_label
_atom_site_fract_x
_atom_site_fract_y
_atom_site_fract_z
_atom_site_occupancy
Nd1 0.0000 0.0000 0.0000 1
Ga1 0.0554 0.5277 0.2491 1
Au1 0.0000 0.3811 0.5000 1
Au2 0.0815 0.1630 0.2969 1
# M_tot, μB per formula unit: 0.000
# Uncorrected energy, eV/atom: -3.490

=====

# 3
# NdSmPu2, relaxed, DFT PBE-GGA
data_NdSmPu2
_cell_length_a 4.900
_cell_length_b 4.900
_cell_length_c 5.081
_cell_angle_alpha 90.00
_cell_angle_beta 90.00
_cell_angle_gamma 90.00
_space_group_name_H-M_alt 'P 4/m m m'
_space_group_IT_number 123
_space_group_name_Hall '-P 4 2'
loop_
_atom_site_label
_atom_site_fract_x
_atom_site_fract_y
_atom_site_fract_z
_atom_site_occupancy
Nd1 0.000 0.000 0.000 1
Sm1 0.500 0.500 0.000 1
Pu1 0.000 0.500 0.500 1
# M_tot, μB per formula unit: 12.461
# Uncorrected energy, eV/atom: -9.317

=====

# 4
# Sc2TlCuMo, relaxed, DFT PBE-GGA
data_Sc2TlCuMo
_cell_length_a 5.245
_cell_length_b 5.245
_cell_length_c 4.583
_cell_angle_alpha 90.00
_cell_angle_beta 90.00
_cell_angle_gamma 90.00
_space_group_name_H-M_alt 'P 4/m m m'
_space_group_IT_number 123
_space_group_name_Hall '-P 4 2'
loop_
_atom_site_label
_atom_site_fract_x
_atom_site_fract_y
_atom_site_fract_z
_atom_site_occupancy
Sc1 0.000 0.500 0.000 1
Tl1 0.000 0.000 0.000 1
Cu1 0.000 0.000 0.500 1
Mo1 0.500 0.500 0.500 1
# Polymorph energy (0 for the lowest one), meV per atom: 0.0
# M_tot, μB per formula unit: 3.868
# Uncorrected energy, eV/atom: -4.654

=====

# 5
# TbDyPdAu, relaxed, DFT PBE-GGA
data_TbDyPdAu
_cell_length_a 7.126
_cell_length_b 7.126
_cell_length_c 7.126
_cell_angle_alpha 90.00
_cell_angle_beta 90.00
_cell_angle_gamma 90.00
_space_group_name_H-M_alt 'F -4 3 m'
_space_group_IT_number 216
_space_group_name_Hall 'F -4 2 3'
loop_
_atom_site_label
_atom_site_fract_x
_atom_site_fract_y
_atom_site_fract_z
_atom_site_occupancy
Tb1 0.000 0.000 0.000 1
Dy1 0.000 0.000 0.500 1
Pd1 0.250 0.250 0.250 1
Au1 0.250 0.250 0.750 1
# Polymorph energy (0 for the lowest one), meV per atom: 46.5
# M_tot, μB per formula unit: 0.000
# Uncorrected energy, eV/atom: -5.282

=====

# 6
# CoRh4Se, relaxed, DFT PBE-GGA
data_CoRh4Se
_cell_length_a 7.244
_cell_length_b 7.244
_cell_length_c 7.244
_cell_angle_alpha 90.00
_cell_angle_beta 90.00
_cell_angle_gamma 90.00
_space_group_name_H-M_alt 'F -4 3 m'
_space_group_IT_number 216
_space_group_name_Hall 'F -4 2 3'
loop_
_atom_site_label
_atom_site_fract_x
_atom_site_fract_y
_atom_site_fract_z
_atom_site_occupancy
Co1 0.000 0.000 0.000 1
Rh1 0.125 0.125 0.625 1
Se1 0.250 0.250 0.250 1
# M_tot, μB per formula unit: 2.875
# Uncorrected energy, eV/atom: -6.058